# 1
A PBEsol-optimized structure of Ni2AsPt, computed with SCAN.

Calculated values
Symmetry: Pmm2
Formation enthalpy at 0 K: -0.1444 eV/atom

```
Ni2AsPt
1.0
2.9768 0.0000 0.0000
0.0000 4.0269 0.0000
0.0000 0.0000 4.2644
Ni As Pt
2 1 1
Cartesian
0.0000 0.0000 0.0000
0.0000 2.0135 1.3849
1.4884 0.0000 1.8921
1.4884 2.0135 3.5218
```

# 2
A PBEsol-optimized structure of LiZn3F, computed with SCAN.

Calculated values
Raw formation energy: 0.101 eV/atom
Symmetry: Pm-3m

```
LiZn3F
1.0
4.4793 0.0000 0.0000
0.0000 4.4793 0.0000
0.0000 0.0000 4.4793
Li Zn F
1 3 1
Cartesian
0.0000 0.0000 0.0000
0.0000 0.0000 2.2397
0.0000 2.2397 0.0000
2.2397 0.0000 0.0000
2.2397 2.2397 2.2397
```

# 3
A PBEsol-optimized structure of MgTaRh3, computed with SCAN.

Calculated values
Energy above the most stable polymorph in this dataset: 1.475 eV per formula unit
Symmetry: Pm-3m
Formation enthalpy at 0 K: 0.8208 eV/atom

```
MgTaRh3
1.0
4.3215 0.0000 0.0000
0.0000 4.3215 0.0000
0.0000 0.0000 4.3215
Mg Ta Rh
1 1 3
Cartesian
0.0000 0.0000 0.0000
2.1607 2.1607 2.1607
0.0000 0.0000 2.1607
0.0000 2.1607 0.0000
2.1607 0.0000 0.0000
```

# 4
A PBEsol-optimized structure of BaZrNi, computed with SCAN.

Calculated values
Energy above the most stable polymorph in this dataset: 0.000 eV per formula unit
Symmetry: P3m1
Formation enthalpy at 0 K: 0.3062 eV/atom

```
BaZrNi
1.0
4.1982 0.0000 0.0000
-2.0991 3.6357 0.0000
0.0000 0.0000 5.3728
Ba Zr Ni
1 1 1
Cartesian
0.0000 0.0000 0.0000
2.0991 1.2119 2.6402
0.0000 2.4238 2.9911
```

# 5
A PBEsol-optimized structure of Sc2SbP, computed with SCAN.

Calculated values
Raw formation energy: -1.324 eV/atom
Symmetry: R-3m

```
Sc2SbP
1.0
1.9203 1.1087 6.5777
-1.9203 1.1087 6.5777
0.0000 -2.2174 6.5777
Sc Sb P
2 1 1
Cartesian
0.0000 0.0000 4.7237
0.0000 0.0000 15.0093
0.0000 0.0000 0.0000
0.0000 0.0000 9.8665
```

# 6
A PBEsol-optimized structure of K2ZnTeF, computed with SCAN.

Calculated values
Raw formation energy: -0.939 eV/atom
Symmetry: P4/mmm

```
K2ZnTeF
1.0
5.2739 0.0000 0.0000
0.0000 5.2739 0.0000
0.0000 0.0000 5.1147
K Zn Te F
2 1 1 1
Cartesian
0.0000 2.6370 0.0000
2.6370 0.0000 0.0000
0.0000 0.0000 2.5574
2.6370 2.6370 2.5574
2.6370 2.6370 0.0000
```